[1]
The following is a DFT calculation (PBE-GGA) of a geometry-optimized Pm3SmCd structure.

Results
V in A^3/atom: 34.2
Formation enthalpy at 0 K in eV/atom: 0.05
Mass density in g/cm³: 6.77
Offset from the most stable computed form in meV/atom: 159
DFT total energy in Ry/atom: -0.2887
DOS at the Fermi energy in states/eV/cell: 12.29

a b c (Å): 3.8020 9.6483 9.5213
angles (deg): 90.00 101.50 90.00
Closest atoms and distances in Å follow each position.
Space group P2_1/m (No. 11)
One atom of each set of equivalent atoms:
Pm  0.0999  0.0076  0.1994 x4  2 Cd 3.24, 2 Sm 3.52-3.53
Pm  0.2968  0.2500  0.5937 x2  2 Cd 3.13
Sm  0.4877  0.2500  0.9744 x2  1 Cd 3.29, 9 Pm 3.52-3.67
Cd  0.3365  0.7500  0.6732 x2  6 Pm 3.13-3.24, 1 Sm 3.29

***

[2]
The following is a DFT calculation (PBE-GGA) of a geometry-optimized CeGa2Ni2Pt structure.

Results
V in A^3/atom: 19.9
Formation enthalpy at 0 K in eV/atom: -0.12
Mass density in g/cm³: 8.23
DFT total energy in Ry/atom: -0.3709
DOS at the Fermi energy in states/eV/cell: 7.58

a b c (Å): 4.7239 4.7239 5.3516
angles (deg): 90.00 90.00 90.00
Closest atoms and distances in Å follow each position.
Space group P4/mmm (No. 123)
One atom of each set of equivalent atoms:
Ce  0.0000  0.0000  0.0000 x1  2 Pt 2.68
Ga  0.0000  0.5000  0.5000 x2  2 Pt 2.36
Ni  0.5000  0.5000  0.2410 x2  2 Ni 2.58-2.77, 4 Ga 2.74
Pt  0.0000  0.0000  0.5000 x1  4 Ga 2.36